1.
LaYZr2 PBE optimized geometry; energy of formation from the pure elements = 108 meV/atom; size of the total moment = 0.0 μB per formula unit; space group = P4mm; E = -7.014 eV per atom
1.0
3.897 0.000 0.000
0.000 3.897 0.000
0.000 0.000 7.630
La Y Zr
1 1 2
direct
0.000 0.000 0.000 La
0.500 0.500 0.325 Y
0.000 0.000 0.569 Zr
0.500 0.500 0.738 Zr

2.
Al4MoRu5 PBE optimized geometry; energy of formation from the pure elements = -546 meV/atom; size of the total moment = 0.0 μB per formula unit; space group = P4/mmm; E = -7.764 eV per atom
1.0
3.008 0.000 0.000
0.000 3.008 0.000
0.000 0.000 15.304
Al Mo Ru
4 1 5
direct
0.000 0.000 0.098 Al
0.000 0.000 0.292 Al
0.000 0.000 0.708 Al
0.000 0.000 0.902 Al
0.000 0.000 0.500 Mo
0.500 0.500 0.000 Ru
0.500 0.500 0.197 Ru
0.500 0.500 0.394 Ru
0.500 0.500 0.606 Ru
0.500 0.500 0.803 Ru